Entry from Alexandria: crystalline Nd9InPb2 at its relaxed geometry (PBE).

## Properties
For the formation energy, the calculation gives -31 kJ per mole of atoms. The calculation puts the density of states at the Fermi level at 1.415 states/eV per atom.

a = 4.9978 Å, b = 4.9978 Å, c = 14.9723 Å
α = 90.00°, β = 90.00°, γ = 90.00°
With the nearest neighbours (Å) after each atom.
Space group P4/mmm (No. 123)
Asymmetric unit:
Nd1 0.0000 0.0000 0.0000  8 Nd 3.53, 4 In 3.53
Nd2 0.0000 0.0000 0.3336  8 Nd 3.53-3.54, 4 Pb 3.53
Nd3 0.0000 0.5000 0.1662  2 Pb 3.53, 2 In 3.53, 8 Nd 3.53-3.54
Nd4 0.0000 0.5000 0.5000  8 Nd 3.53, 4 Pb 3.54
In1 0.5000 0.5000 0.0000  12 Nd 3.53
Pb1 0.5000 0.5000 0.3323  12 Nd 3.53-3.54

Entry from Alexandria: crystalline Nd4InPb2 at its relaxed geometry (PBE).

## Properties
For the formation energy, the calculation gives -38 kJ per mole of atoms. The calculation puts the density of states at the Fermi level at 0.889 states/eV per atom.

a = 5.9516 Å, b = 6.7442 Å, c = 11.1119 Å
α = 90.00°, β = 100.25°, γ = 90.00°
With the nearest neighbours (Å) after each atom.
Space group P2_1/m (No. 11)
Asymmetric unit:
Nd1 0.1382 0.2500 0.1246  3 Pb 3.21-3.36, 3 In 3.33-3.42
Nd2 0.2468 0.7500 0.4472  1 In 3.04, 4 Pb 3.24-3.38
Nd3 0.3236 0.0138 0.7356  2 Nd 3.19-3.56, 1 In 3.30, 2 Pb 3.39-3.46
In1 0.0993 0.7500 0.1703  1 Pb 2.89, 1 Nd 3.04
Pb1 0.2168 0.2500 0.4313  5 Nd 3.24-3.38
Pb2 0.4144 0.7500 0.9997  1 In 2.89, 1 Nd 3.21

Entry from Alexandria: crystalline Nd12In3Pb at its relaxed geometry (PBE).

## Properties
For the formation energy, the calculation gives -28 kJ per mole of atoms. The calculation puts the density of states at the Fermi level at 1.502 states/eV per atom.

a = 4.9902 Å, b = 4.9902 Å, c = 19.9836 Å
α = 90.00°, β = 90.00°, γ = 90.00°
With the nearest neighbours (Å) after each atom.
Space group P4/mmm (No. 123)
Asymmetric unit:
Nd1 0.0000 0.0000 0.0000  4 In 3.53, 8 Nd 3.53
Nd2 0.0000 0.0000 0.2496  8 Nd 3.52-3.53, 4 In 3.53
Nd3 0.0000 0.0000 0.5000  4 Pb 3.53, 8 Nd 3.54
Nd4 0.0000 0.5000 0.1251  4 In 3.52-3.53, 8 Nd 3.52-3.53
Nd5 0.0000 0.5000 0.3745  8 Nd 3.53-3.54, 2 In 3.53, 2 Pb 3.54
In1 0.5000 0.5000 0.0000  12 Nd 3.53
In2 0.5000 0.5000 0.2495  12 Nd 3.52-3.53
Pb1 0.5000 0.5000 0.5000  12 Nd 3.53-3.54

Entry from Alexandria: crystalline Nd12InPb3 at its relaxed geometry (PBE).

## Properties
For the formation energy, the calculation gives -31 kJ per mole of atoms. The calculation puts the density of states at the Fermi level at 1.246 states/eV per atom.

a = 4.9985 Å, b = 4.9985 Å, c = 19.9556 Å
α = 90.00°, β = 90.00°, γ = 90.00°
With the nearest neighbours (Å) after each atom.
Space group P4/mmm (No. 123)
Asymmetric unit:
Nd1 0.0000 0.0000 0.0000  8 Nd 3.53, 4 In 3.53
Nd2 0.0000 0.0000 0.2502  8 Nd 3.53-3.54, 4 Pb 3.53
Nd3 0.0000 0.0000 0.5000  8 Nd 3.53, 4 Pb 3.53
Nd4 0.0000 0.5000 0.1246  2 Pb 3.52, 2 In 3.53, 8 Nd 3.53-3.54
Nd5 0.0000 0.5000 0.3752  4 Pb 3.53-3.55, 8 Nd 3.53
In1 0.5000 0.5000 0.0000  12 Nd 3.53
Pb1 0.5000 0.5000 0.2490  12 Nd 3.52-3.55
Pb2 0.5000 0.5000 0.5000  12 Nd 3.53

Entry from Alexandria: crystalline Nd4In3Pb at its relaxed geometry (PBE).

## Properties
For the formation energy, the calculation gives -47 kJ per mole of atoms. The calculation puts the density of states at the Fermi level at 0.521 states/eV per atom.

a = 11.1597 Å, b = 7.3644 Å, c = 5.7031 Å
α = 90.00°, β = 90.00°, γ = 90.00°
With the nearest neighbours (Å) after each atom.
Space group Pmma (No. 51)
Asymmetric unit:
Nd1 0.0000 0.2476 0.0000  6 In 3.37-3.39, 2 Pb 3.40, 4 Nd 3.65-3.72
Nd2 0.2500 0.2481 0.4201  6 In 3.33-3.44, 2 Pb 3.38, 4 Nd 3.65-3.71
In1 0.0000 0.0000 0.5000  8 Nd 3.37-3.38, 2 In 3.63, 2 Pb 3.68
In2 0.2500 0.0000 0.9083  8 Nd 3.33-3.44, 4 In 3.63-3.68
In3 0.2500 0.5000 0.9124  8 Nd 3.37-3.44, 2 Pb 3.65, 2 In 3.68
Pb1 0.0000 0.5000 0.5000  8 Nd 3.38-3.40, 4 In 3.65-3.68

Entry from Alexandria: crystalline NdIn2Pb at its relaxed geometry (PBE).

## Properties
For the formation energy, the calculation gives -34 kJ per mole of atoms. The calculation puts the density of states at the Fermi level at 0.789 states/eV per atom.

a = 6.5607 Å, b = 7.9893 Å, c = 8.5996 Å
α = 90.00°, β = 90.00°, γ = 90.00°
With the nearest neighbours (Å) after each atom.
Space group Imma (No. 74)
Asymmetric unit:
Nd1 0.0000 0.2500 0.0584  3 Pb 3.28-3.42, 8 In 3.37-3.48
In1 0.2500 0.0558 0.7500  3 In 3.10-3.28, 2 Nd 3.37, 4 Pb 3.39-3.43
Pb1 0.0000 0.2500 0.4555  3 Nd 3.28-3.42, 8 In 3.39-3.43

Total energy (computed, eV per atom): -4.744; -4.567; -4.616; -4.768; -4.362; -3.840
Density (computed, g/cm³): 8.11; 8.37; 7.62; 8.22; 8.00; 8.56